A | VASP calculation (PBE) on a geometry-optimized Tb5Pm3Nd2 structure.

a = 9.829 Å, b = 9.829 Å, c = 9.344 Å
α = 108.41°, β = 108.41°, γ = 113.56°
Atoms (fractional coordinates):
Tb  0.025  0.975  0.750
Tb  0.136  0.374  0.763
Tb  0.275  0.725  0.250
Tb  0.374  0.136  0.263
Tb  0.472  0.528  0.250
Tb  0.528  0.472  0.750
Tb  0.626  0.864  0.737
Tb  0.725  0.275  0.750
Tb  0.864  0.626  0.237
Tb  0.975  0.025  0.250
Pm  0.021  0.270  0.047
Pm  0.229  0.771  0.750
Pm  0.270  0.021  0.547
Pm  0.730  0.979  0.453
Pm  0.771  0.229  0.250
Pm  0.979  0.730  0.953
Nd  0.229  0.472  0.456
Nd  0.472  0.229  0.956
Nd  0.528  0.771  0.044
Nd  0.771  0.528  0.544

Values from the calculation:
Space group = C2/c (15)

=====

B | VASP calculation (PBE) on a geometry-optimized Tb5Pm3Nd2 structure.

a = 12.431 Å, b = 12.431 Å, c = 12.431 Å
α = 135.18°, β = 56.26°, γ = 147.79°
Atoms (fractional coordinates):
Tb  0.001  0.250  0.751
Tb  0.125  0.089  0.214
Tb  0.250  0.250  0.000
Tb  0.375  0.589  0.964
Tb  0.499  0.250  0.249
Tb  0.501  0.750  0.751
Tb  0.625  0.411  0.036
Tb  0.750  0.750  0.000
Tb  0.875  0.911  0.786
Tb  0.999  0.750  0.249
Pm  0.130  0.752  0.881
Pm  0.250  0.750  0.500
Pm  0.370  0.252  0.622
Pm  0.630  0.748  0.378
Pm  0.750  0.250  0.500
Pm  0.870  0.248  0.119
Nd  0.126  0.399  0.525
Nd  0.374  0.899  0.273
Nd  0.626  0.101  0.727
Nd  0.874  0.601  0.475

Values from the calculation:
Space group = Ibam (72)

=====

Energies in meV per atom, measured from the most stable structure: A 0; B 198.